The following is a DFT calculation (PBE-GGA) of a geometry-optimized Cd2InS structure.

- energy (eV/atom) = -2.252
- distance to the lowest polymorph of the same formula (meV/atom) = 0
- raw formation energy (eV/atom) = -0.078
- crystal system = tetragonal

Cell: 6.788 6.788 6.788 Å, 117.27 117.27 94.80°
Fractional positions:
Cd 0.088 0.625 0.963
Cd 0.375 0.338 0.463
Cd 0.662 0.125 0.037
Cd 0.875 0.912 0.537
In 0.250 0.750 0.500
In 0.500 0.500 0.000
S 0.000 0.000 0.000
S 0.750 0.250 0.500